VASP calculation (GGA+U) on crystalline ZrV3F at its relaxed geometry.

a = 4.4436 Å, b = 4.4436 Å, c = 4.4436 Å
α = 90.00°, β = 90.00°, γ = 90.00°
Space group Pm-3m (No. 221)
Asymmetric unit:
Zr 0.0000 0.0000 0.0000 [1 per cell]
V 0.0000 0.5000 0.5000 [3 per cell]
F 0.5000 0.5000 0.5000 [1 per cell]

- calculated volume (A^3/atom) = 17.55
- distance to the lowest polymorph of the same formula (meV per atom) = 0
- density of states at the Fermi level (states/eV/cell) = 5.34
- total magnetic moment (μB/cell) = 7.3